The following is a DFT calculation (PBE) of crystalline LiZrB at its relaxed geometry.

Geometry as CIF:
```
data_LiZrB
_chemical_formula_sum 'Li2 Zr2 B2'
_symmetry_space_group_name_H-M 'P 4/n m m'
_symmetry_Int_Tables_number 129
_cell_length_a 4.159
_cell_length_b 4.159
_cell_length_c 5.989
_cell_angle_alpha 90.00
_cell_angle_beta 90.00
_cell_angle_gamma 90.00
loop_
_symmetry_equiv_pos_as_xyz
'x,y,z'
'-x,-y,-z'
'-y+1/2,x,z'
'y+1/2,-x,-z'
'-x+1/2,-y+1/2,z'
'x+1/2,y+1/2,-z'
'y,-x+1/2,z'
'-y,x+1/2,-z'
'x+1/2,-y,-z'
'-x+1/2,y,z'
'-y,-x,-z'
'y,x,z'
'-x,y+1/2,-z'
'x,-y+1/2,z'
'y+1/2,x+1/2,-z'
'-y+1/2,-x+1/2,z'
loop_
_atom_site_label
_atom_site_fract_x
_atom_site_fract_y
_atom_site_fract_z
Li1 0.250 0.250 0.199
Zr1 0.250 0.250 0.664
B1 0.250 0.750 0.500
```

## Properties
E above lowest polymorph in eV/atom: 0.494
Energy of formation in eV/atom: 0.10

The following is a DFT calculation (PBE) of crystalline LiZrB at its relaxed geometry.

Geometry as CIF:
```
data_LiZrB
_chemical_formula_sum 'Li2 Zr2 B2'
_symmetry_space_group_name_H-M 'P 63/m m c'
_symmetry_Int_Tables_number 194
_symmetry_space_group_name_Hall '-P 6c 2c'
_cell_length_a 4.2383
_cell_length_b 4.2383
_cell_length_c 5.0892
_cell_angle_alpha 90.00
_cell_angle_beta 90.00
_cell_angle_gamma 120.00
loop_
_atom_site_label
_atom_site_fract_x
_atom_site_fract_y
_atom_site_fract_z
Li1 0.0000 0.0000 0.0000
Zr1 0.3333 0.6667 0.2500
B1 0.3333 0.6667 0.7500
```

## Properties
E above lowest polymorph in eV/atom: 0.164
Energy of formation in eV/atom: -0.23

The following is a DFT calculation (PBE) of crystalline LiZr3B at its relaxed geometry.

Geometry as CIF:
```
data_LiZr3B
_chemical_formula_sum 'Li1 Zr3 B1'
_symmetry_space_group_name_H-M 'P m -3 m'
_symmetry_Int_Tables_number 221
_symmetry_space_group_name_Hall '-P 4 2 3'
_cell_length_a 4.678
_cell_length_b 4.678
_cell_length_c 4.678
_cell_angle_alpha 90.00
_cell_angle_beta 90.00
_cell_angle_gamma 90.00
loop_
_atom_site_label
_atom_site_fract_x
_atom_site_fract_y
_atom_site_fract_z
Li1 0.000 0.000 0.000
Zr1 0.000 0.500 0.500
B1 0.500 0.500 0.500
```

## Properties
E above lowest polymorph in eV/atom: 0.000
Energy of formation in eV/atom: 0.06

The following is a DFT calculation (PBE) of crystalline LiZrB at its relaxed geometry.

Geometry as CIF:
```
data_LiZrB
_chemical_formula_sum 'Li4 Zr4 B4'
_symmetry_space_group_name_H-M 'C m c m'
_symmetry_Int_Tables_number 63
_symmetry_space_group_name_Hall '-C 2c 2'
_cell_length_a 3.339
_cell_length_b 18.467
_cell_length_c 3.119
_cell_angle_alpha 90.00
_cell_angle_beta 90.00
_cell_angle_gamma 90.00
loop_
_atom_site_label
_atom_site_fract_x
_atom_site_fract_y
_atom_site_fract_z
Li1 0.000 0.204 0.250
Zr1 0.000 0.423 0.250
B1 0.000 0.021 0.250
```

## Properties
E above lowest polymorph in eV/atom: 0.019
Energy of formation in eV/atom: -0.37

The following is a DFT calculation (PBE) of crystalline LiZrB at its relaxed geometry.

Geometry as CIF:
```
data_LiZrB
_chemical_formula_sum 'Li2 Zr2 B2'
_symmetry_space_group_name_H-M 'P -6 m 2'
_symmetry_Int_Tables_number 187
_symmetry_space_group_name_Hall 'P -6 2'
_cell_length_a 3.5597
_cell_length_b 3.5597
_cell_length_c 9.0906
_cell_angle_alpha 90.00
_cell_angle_beta 90.00
_cell_angle_gamma 120.00
loop_
_atom_site_label
_atom_site_fract_x
_atom_site_fract_y
_atom_site_fract_z
Li1 0.0000 0.0000 0.0000
Li2 0.0000 0.0000 0.5000
Zr1 0.3333 0.6667 0.2223
B1 0.6667 0.3333 0.0920
```

## Properties
E above lowest polymorph in eV/atom: 0.524
Energy of formation in eV/atom: 0.13

The following is a DFT calculation (PBE) of crystalline Li3ZrB at its relaxed geometry.

Geometry as CIF:
```
data_Li3ZrB
_chemical_formula_sum 'Li3 Zr1 B1'
_symmetry_space_group_name_H-M 'P m -3 m'
_symmetry_Int_Tables_number 221
_symmetry_space_group_name_Hall '-P 4 2 3'
_cell_length_a 5.240
_cell_length_b 5.240
_cell_length_c 5.240
_cell_angle_alpha 90.00
_cell_angle_beta 90.00
_cell_angle_gamma 90.00
loop_
_atom_site_label
_atom_site_fract_x
_atom_site_fract_y
_atom_site_fract_z
Li1 0.000 0.000 0.500
Zr1 0.000 0.000 0.000
B1 0.500 0.500 0.500
```

## Properties
E above lowest polymorph in eV/atom: 1.518
Energy of formation in eV/atom: 2.09

The following is a DFT calculation (PBE) of crystalline LiZrB at its relaxed geometry.

Geometry as CIF:
```
data_LiZrB
_chemical_formula_sum 'Li4 Zr4 B4'
_symmetry_space_group_name_H-M 'P n m a'
_symmetry_Int_Tables_number 62
_symmetry_space_group_name_Hall '-P 2ac 2n'
_cell_length_a 7.628
_cell_length_b 4.080
_cell_length_c 5.971
_cell_angle_alpha 90.00
_cell_angle_beta 90.00
_cell_angle_gamma 90.00
loop_
_atom_site_label
_atom_site_fract_x
_atom_site_fract_y
_atom_site_fract_z
Li1 0.066 0.250 0.143
Zr1 0.155 0.250 0.610
B1 0.151 0.750 0.410
```

## Properties
E above lowest polymorph in eV/atom: 0.311
Energy of formation in eV/atom: -0.08

The following is a DFT calculation (PBE) of crystalline LiZrB at its relaxed geometry.

Geometry as CIF:
```
data_LiZrB
_chemical_formula_sum 'Li2 Zr2 B2'
_symmetry_space_group_name_H-M 'P -3 m 1'
_symmetry_Int_Tables_number 164
_symmetry_space_group_name_Hall '-P 3 2"'
_cell_length_a 3.1756
_cell_length_b 3.1756
_cell_length_c 11.5037
_cell_angle_alpha 90.00
_cell_angle_beta 90.00
_cell_angle_gamma 120.00
loop_
_atom_site_label
_atom_site_fract_x
_atom_site_fract_y
_atom_site_fract_z
Li1 0.3333 0.6667 0.3848
Zr1 0.0000 0.0000 0.1487
B1 0.3333 0.6667 0.9999
```

## Properties
E above lowest polymorph in eV/atom: 0.000
Energy of formation in eV/atom: -0.39

The following is a DFT calculation (PBE) of crystalline LiZrB at its relaxed geometry.

Geometry as CIF:
```
data_LiZrB
_chemical_formula_sum 'Li2 Zr2 B2'
_symmetry_space_group_name_H-M 'P 63/m m c'
_symmetry_Int_Tables_number 194
_symmetry_space_group_name_Hall '-P 6c 2c'
_cell_length_a 3.5956
_cell_length_b 3.5956
_cell_length_c 9.4279
_cell_angle_alpha 90.00
_cell_angle_beta 90.00
_cell_angle_gamma 120.00
loop_
_atom_site_label
_atom_site_fract_x
_atom_site_fract_y
_atom_site_fract_z
Li1 0.3333 0.6667 0.2500
Zr1 0.0000 0.0000 0.0000
B1 0.0000 0.0000 0.2500
```

## Properties
E above lowest polymorph in eV/atom: 1.298
Energy of formation in eV/atom: 0.91

The following is a DFT calculation (PBE) of crystalline Li2ZrB2 at its relaxed geometry.

Geometry as CIF:
```
data_Li2ZrB2
_chemical_formula_sum 'Li4 Zr2 B4'
_symmetry_space_group_name_H-M 'I 4/m m m'
_symmetry_Int_Tables_number 139
_symmetry_space_group_name_Hall '-I 4 2'
_cell_length_a 3.409
_cell_length_b 3.409
_cell_length_c 10.202
_cell_angle_alpha 90.00
_cell_angle_beta 90.00
_cell_angle_gamma 90.00
loop_
_atom_site_label
_atom_site_fract_x
_atom_site_fract_y
_atom_site_fract_z
Li1 0.000 0.500 0.250
Zr1 0.000 0.000 0.000
B1 0.000 0.000 0.419
```

## Properties
Energy of formation in eV/atom: -0.15

The following is a DFT calculation (PBE) of crystalline LiZrB at its relaxed geometry.

Geometry as CIF:
```
data_LiZrB
_chemical_formula_sum 'Li4 Zr4 B4'
_symmetry_space_group_name_H-M 'C 1 2/m 1'
_symmetry_Int_Tables_number 12
_symmetry_space_group_name_Hall '-C 2y'
_cell_length_a 9.491
_cell_length_b 3.244
_cell_length_c 5.797
_cell_angle_alpha 90.00
_cell_angle_beta 114.24
_cell_angle_gamma 90.00
loop_
_atom_site_label
_atom_site_fract_x
_atom_site_fract_y
_atom_site_fract_z
Li1 0.245 0.000 0.329
Zr1 0.000 0.000 0.500
Zr2 0.000 0.500 0.000
B1 0.218 0.000 0.956
```

## Properties
E above lowest polymorph in eV/atom: 0.356
Energy of formation in eV/atom: -0.04

The following is a DFT calculation (PBE) of crystalline LiZrB at its relaxed geometry.

Geometry as CIF:
```
data_LiZrB
_chemical_formula_sum 'Li4 Zr4 B4'
_symmetry_space_group_name_H-M 'F -4 3 m'
_symmetry_Int_Tables_number 216
_symmetry_space_group_name_Hall 'F -4 2 3'
_cell_length_a 5.574
_cell_length_b 5.574
_cell_length_c 5.574
_cell_angle_alpha 90.00
_cell_angle_beta 90.00
_cell_angle_gamma 90.00
loop_
_atom_site_label
_atom_site_fract_x
_atom_site_fract_y
_atom_site_fract_z
Li1 0.000 0.000 0.000
Zr1 0.000 0.000 0.500
B1 0.250 0.250 0.250
```

## Properties
E above lowest polymorph in eV/atom: 0.305
Energy of formation in eV/atom: -0.09

The following is a DFT calculation (PBE) of crystalline LiZrB3 at its relaxed geometry.

Geometry as CIF:
```
data_LiZrB3
_chemical_formula_sum 'Li1 Zr1 B3'
_symmetry_space_group_name_H-M 'P m -3 m'
_symmetry_Int_Tables_number 221
_symmetry_space_group_name_Hall '-P 4 2 3'
_cell_length_a 4.477
_cell_length_b 4.477
_cell_length_c 4.477
_cell_angle_alpha 90.00
_cell_angle_beta 90.00
_cell_angle_gamma 90.00
loop_
_atom_site_label
_atom_site_fract_x
_atom_site_fract_y
_atom_site_fract_z
Li1 0.000 0.000 0.000
Zr1 0.500 0.500 0.500
B1 0.000 0.500 0.500
```

## Properties
E above lowest polymorph in eV/atom: 0.602
Energy of formation in eV/atom: 1.53

The following is a DFT calculation (PBE) of crystalline LiZrB at its relaxed geometry.

Geometry as CIF:
```
data_LiZrB
_chemical_formula_sum 'Li4 Zr4 B4'
_symmetry_space_group_name_H-M 'C m c m'
_symmetry_Int_Tables_number 63
_symmetry_space_group_name_Hall '-C 2c 2'
_cell_length_a 4.138
_cell_length_b 6.863
_cell_length_c 5.265
_cell_angle_alpha 90.00
_cell_angle_beta 90.00
_cell_angle_gamma 90.00
loop_
_atom_site_label
_atom_site_fract_x
_atom_site_fract_y
_atom_site_fract_z
Li1 0.000 0.188 0.250
Zr1 0.000 0.158 0.750
B1 0.000 0.500 0.000
```

## Properties
E above lowest polymorph in eV/atom: 0.722
Energy of formation in eV/atom: 0.33

The following is a DFT calculation (PBE) of crystalline LiZrB at its relaxed geometry.

Geometry as CIF:
```
data_LiZrB
_chemical_formula_sum 'Li4 Zr4 B4'
_symmetry_space_group_name_H-M 'C 1 2/m 1'
_symmetry_Int_Tables_number 12
_symmetry_space_group_name_Hall '-C 2y'
_cell_length_a 5.505
_cell_length_b 3.179
_cell_length_c 11.628
_cell_angle_alpha 90.00
_cell_angle_beta 98.59
_cell_angle_gamma 90.00
loop_
_atom_site_label
_atom_site_fract_x
_atom_site_fract_y
_atom_site_fract_z
Li1 0.207 0.000 0.116
Zr1 0.047 0.000 0.649
B1 0.167 0.500 0.500
```

## Properties
E above lowest polymorph in eV/atom: 0.000
Energy of formation in eV/atom: -0.39

The following is a DFT calculation (PBE) of crystalline Li3ZrB at its relaxed geometry.

Geometry as CIF:
```
data_Li3ZrB
_chemical_formula_sum 'Li3 Zr1 B1'
_symmetry_space_group_name_H-M 'P m -3 m'
_symmetry_Int_Tables_number 221
_symmetry_space_group_name_Hall '-P 4 2 3'
_cell_length_a 4.123
_cell_length_b 4.123
_cell_length_c 4.123
_cell_angle_alpha 90.00
_cell_angle_beta 90.00
_cell_angle_gamma 90.00
loop_
_atom_site_label
_atom_site_fract_x
_atom_site_fract_y
_atom_site_fract_z
Li1 0.000 0.000 0.500
Zr1 0.500 0.500 0.500
B1 0.000 0.000 0.000
```

## Properties
E above lowest polymorph in eV/atom: 0.000
Energy of formation in eV/atom: 0.57

The following is a DFT calculation (PBE) of crystalline LiZrB at its relaxed geometry.

Geometry as CIF:
```
data_LiZrB
_chemical_formula_sum 'Li4 Zr4 B4'
_symmetry_space_group_name_H-M 'C 1 m 1'
_symmetry_Int_Tables_number 8
_symmetry_space_group_name_Hall 'C -2y'
_cell_length_a 5.505
_cell_length_b 3.179
_cell_length_c 11.618
_cell_angle_alpha 90.00
_cell_angle_beta 98.82
_cell_angle_gamma 90.00
loop_
_atom_site_label
_atom_site_fract_x
_atom_site_fract_y
_atom_site_fract_z
Li1 0.000 0.000 0.000
Li2 0.248 0.500 0.231
Zr1 0.157 0.000 0.466
Zr2 0.253 0.000 0.764
B1 0.039 0.500 0.615
B2 0.372 0.500 0.615
```

## Properties
E above lowest polymorph in eV/atom: 0.000
Energy of formation in eV/atom: -0.39

The following is a DFT calculation (PBE) of crystalline LiZrB at its relaxed geometry.

Geometry as CIF:
```
data_LiZrB
_chemical_formula_sum 'Li4 Zr4 B4'
_symmetry_space_group_name_H-M 'P n m a'
_symmetry_Int_Tables_number 62
_symmetry_space_group_name_Hall '-P 2ac 2n'
_cell_length_a 6.131
_cell_length_b 3.569
_cell_length_c 7.400
_cell_angle_alpha 90.00
_cell_angle_beta 90.00
_cell_angle_gamma 90.00
loop_
_atom_site_label
_atom_site_fract_x
_atom_site_fract_y
_atom_site_fract_z
Li1 0.128 0.250 0.047
Zr1 0.057 0.250 0.676
B1 0.223 0.250 0.366
```

## Properties
E above lowest polymorph in eV/atom: 0.280
Energy of formation in eV/atom: -0.11

The following is a DFT calculation (PBE) of crystalline LuB6 at its relaxed geometry.

Geometry as CIF:
```
data_LuB6
_chemical_formula_sum 'Lu2 B12'
_symmetry_space_group_name_H-M 'I m -3 m'
_symmetry_Int_Tables_number 229
_symmetry_space_group_name_Hall '-I 4 2 3'
_cell_length_a 4.974
_cell_length_b 4.974
_cell_length_c 4.974
_cell_angle_alpha 90.00
_cell_angle_beta 90.00
_cell_angle_gamma 90.00
loop_
_atom_site_label
_atom_site_fract_x
_atom_site_fract_y
_atom_site_fract_z
Lu1 0.000 0.000 0.000
B1 0.000 0.250 0.500
```

## Properties
E above lowest polymorph in eV/atom: 0.276
Energy of formation in eV/atom: -0.03

The following is a DFT calculation (PBE) of crystalline LuB6 at its relaxed geometry.

Geometry as CIF:
```
data_LuB6
_chemical_formula_sum 'Lu1 B6'
_symmetry_space_group_name_H-M 'P m -3 m'
_symmetry_Int_Tables_number 221
_symmetry_space_group_name_Hall '-P 4 2 3'
_cell_length_a 4.076
_cell_length_b 4.076
_cell_length_c 4.076
_cell_angle_alpha 90.00
_cell_angle_beta 90.00
_cell_angle_gamma 90.00
loop_
_atom_site_label
_atom_site_fract_x
_atom_site_fract_y
_atom_site_fract_z
Lu1 0.000 0.000 0.000
B1 0.198 0.500 0.500
```

## Properties
E above lowest polymorph in eV/atom: 0.000
Energy of formation in eV/atom: -0.30